VASP calculation (PBE+U) on an optimized crystal structure of LiFePO4.

POSCAR file:
```
LiFePO4
1.0
7.647 0.000 0.000
-3.823 6.622 0.000
0.000 0.000 9.778
Li Fe P O
6 6 6 24
Direct
0.056 0.599 0.000 Li
0.401 0.457 0.000 Li
0.457 0.401 0.500 Li
0.543 0.944 0.000 Li
0.599 0.056 0.500 Li
0.944 0.543 0.500 Li
0.058 0.288 0.775 Fe
0.229 0.942 0.775 Fe
0.288 0.058 0.275 Fe
0.712 0.771 0.775 Fe
0.771 0.712 0.275 Fe
0.942 0.229 0.275 Fe
0.000 0.000 0.013 P
0.000 0.000 0.513 P
0.333 0.667 0.277 P
0.333 0.667 0.680 P
0.667 0.333 0.180 P
0.667 0.333 0.777 P
0.000 0.000 0.177 O
0.000 0.000 0.677 O
0.096 0.876 0.963 O
0.120 0.512 0.334 O
0.124 0.221 0.963 O
0.186 0.737 0.629 O
0.221 0.124 0.463 O
0.263 0.449 0.629 O
0.333 0.667 0.119 O
0.333 0.667 0.839 O
0.392 0.880 0.334 O
0.449 0.263 0.129 O
0.488 0.608 0.334 O
0.512 0.120 0.834 O
0.551 0.814 0.629 O
0.608 0.488 0.834 O
0.667 0.333 0.339 O
0.667 0.333 0.619 O
0.737 0.186 0.129 O
0.779 0.904 0.963 O
0.814 0.551 0.129 O
0.876 0.096 0.463 O
0.880 0.392 0.834 O
0.904 0.779 0.463 O
```

Calculated values
total magnetization = 4.0 μB per formula unit
total DFT energy (no corrections) = -283.38 eV per cell
space group = P31c
V = 11.8 Å³ per atom
polymorph energy (0 for the lowest one) = 85 meV/atom